Material: Ti2Mn2P
Method: DFT, PBE
State: relaxed

Structure (extended XYZ):
```
5
Lattice="-0.390 2.662 1.588 -2.109 0.945 -2.102 -6.550 -1.310 3.659" Properties=species:S:1:pos:R:3 pbc="T T T"
P 0.000 0.000 0.000
Mn -4.954 0.719 0.650
Mn -4.095 1.577 2.495
Ti -6.763 1.102 2.637
Ti -2.286 1.195 0.509
```

## Properties
D(E_F) in states/eV/f.u.: 6.8
Uncorrected energy in eV for the cell shown: -40.3
Symmetry: No. 139
Mass density in g/cm3: 5.52
Crystal system: tetragonal
Excess energy over the best structure of this formula in the dataset in eV/f.u.: 0.00


Material: ZrB2PtRh
Method: DFT, PBE
State: relaxed

Structure (extended XYZ):
```
5
Lattice="3.926 0.000 0.000 0.000 5.245 0.000 0.000 0.000 3.926" Properties=species:S:1:pos:R:3 pbc="T T T"
Pt 0.000 2.623 0.000
Rh 0.000 0.000 0.000
B 0.000 0.000 1.963
B 1.963 0.000 0.000
Zr 1.963 2.623 1.963
```

## Properties
D(E_F) in states/eV/f.u.: 2.3
Uncorrected energy in eV for the cell shown: -33.4
Symmetry: No. 123
Mass density in g/cm3: 8.44
Crystal system: tetragonal


Material: Sr3DyIr8
Method: DFT, PBE
State: relaxed

Structure (extended XYZ):
```
12
Lattice="5.224 0.000 1.577 2.374 4.653 1.577 0.007 0.004 9.417" Properties=species:S:1:pos:R:3 pbc="T T T"
Ir 1.429 0.875 4.707
Ir 5.905 2.036 3.984
Ir 7.128 4.366 9.369
Ir 4.497 4.335 3.984
Ir 4.550 4.366 8.590
Ir 5.231 3.204 10.994
Ir 3.325 2.036 3.205
Ir 5.957 2.069 8.590
Sr 0.018 0.011 9.382
Sr 2.851 1.746 9.438
Sr 3.792 2.322 6.321
Dy 6.651 4.073 6.291
```

## Properties
D(E_F) in states/eV/f.u.: 14.1
Uncorrected energy in eV for the cell shown: -85.3
Symmetry: No. 160
Mass density in g/cm3: 14.24
Crystal system: trigonal


Material: Cd2CuHg
Method: DFT, PBE
State: relaxed

Structure (extended XYZ):
```
8
Lattice="4.247 0.000 0.000 0.000 4.247 0.000 2.123 2.123 9.796" Properties=species:S:1:pos:R:3 pbc="T T T"
Cd 3.102 1.062 2.449
Cd 5.309 5.226 7.347
Cd 3.185 3.268 7.347
Cd 1.145 3.185 2.449
Hg 4.247 2.123 4.898
Hg 0.000 0.000 0.000
Cu 2.123 4.247 4.898
Cu 2.123 2.123 0.000
```

## Properties
D(E_F) in states/eV/f.u.: 1.2
Uncorrected energy in eV for the cell shown: -10.8
Symmetry: No. 122
Mass density in g/cm3: 9.19
Crystal system: tetragonal